Density functional theory data (PBE-GGA) for YNb2Ge2 after structural relaxation.

Lattice parameters (Å, degrees): 4.055 4.055 6.674 72.32 72.32 90.00
Fractional coordinates of all 5 atoms:
Y1 0.000 0.000 0.000
Nb1 0.750 0.250 0.500
Nb2 0.250 0.750 0.500
Ge1 0.603 0.603 0.794
Ge2 0.397 0.397 0.206

Computed properties:
DFT formation energy: -0.613 eV/atom
total moment: 0.00 μB per cell
ρ: 7.04 g/cm³

Density functional theory data (PBE-GGA) for YNb3Ge after structural relaxation.

Lattice parameters (Å, degrees): 4.938 4.938 4.938 90.00 90.00 90.00
Fractional coordinates of all 5 atoms:
Y1 0.000 0.000 0.000
Nb1 0.000 0.000 0.500
Nb2 0.000 0.500 0.000
Nb3 0.500 0.000 0.000
Ge1 0.500 0.500 0.500

Computed properties:
DFT formation energy: 2.038 eV/atom
total moment: 0.00 μB per cell
ρ: 6.07 g/cm³

Density functional theory data (PBE-GGA) for Y2NbGe3 after structural relaxation.

Lattice parameters (Å, degrees): 3.880 5.641 7.011 113.72 106.06 90.00
Fractional coordinates of all 6 atoms:
Ge1 0.350 0.350 0.700
Ge2 0.650 0.650 0.300
Ge3 0.000 0.000 0.000
Y1 0.671 0.171 0.343
Y2 0.329 0.829 0.657
Nb1 0.000 0.500 0.000

Computed properties:
DFT formation energy: -0.552 eV/atom
total moment: 0.00 μB per cell
ρ: 6.06 g/cm³

Density functional theory data (PBE-GGA) for YNbZnGe2 after structural relaxation.

Lattice parameters (Å, degrees): 5.341 5.204 5.341 90.00 90.00 90.00
Fractional coordinates of all 5 atoms:
Ge1 0.500 0.000 0.000
Ge2 0.000 0.000 0.500
Zn1 0.500 0.500 0.500
Y1 0.000 0.000 0.000
Nb1 0.000 0.500 0.000

Computed properties:
DFT formation energy: 1.355 eV/atom
total moment: 1.27 μB per cell
ρ: 4.39 g/cm³

Density functional theory data (PBE-GGA) for Nb6ZnGe3 after structural relaxation.

Lattice parameters (Å, degrees): 6.556 7.836 7.836 113.51 90.00 90.00
Fractional coordinates of all 20 atoms:
Ge1 0.273 0.418 0.582
Ge2 0.458 0.926 0.713
Ge3 0.958 0.074 0.287
Ge4 0.958 0.713 0.926
Ge5 0.773 0.582 0.418
Ge6 0.458 0.287 0.074
Nb1 0.551 0.266 0.734
Nb2 0.784 0.049 0.951
Nb3 0.807 0.975 0.553
Nb4 0.616 0.637 0.748
Nb5 0.284 0.951 0.049
Nb6 0.807 0.447 0.025
Nb7 0.616 0.252 0.363
Nb8 0.307 0.553 0.975
Nb9 0.307 0.025 0.447
Nb10 0.051 0.734 0.266
Nb11 0.116 0.363 0.252
Nb12 0.116 0.748 0.637
Zn1 0.616 0.823 0.177
Zn2 0.116 0.177 0.823

Computed properties:
DFT formation energy: -0.096 eV/atom
total moment: 0.00 μB per cell
ρ: 7.56 g/cm³

Density functional theory data (PBE-GGA) for Nb3ZnGe after structural relaxation.

Lattice parameters (Å, degrees): 6.923 6.923 9.790 90.16 90.16 48.94
Fractional coordinates of all 20 atoms:
Nb1 0.198 0.697 0.590
Nb2 0.724 0.658 0.201
Nb3 0.120 0.104 0.175
Nb4 0.880 0.896 0.825
Nb5 0.658 0.724 0.701
Nb6 0.896 0.880 0.325
Nb7 0.342 0.276 0.299
Nb8 0.303 0.802 0.910
Nb9 0.104 0.120 0.675
Nb10 0.697 0.198 0.090
Nb11 0.276 0.342 0.799
Nb12 0.802 0.303 0.410
Zn1 0.591 0.117 0.560
Zn2 0.883 0.409 0.940
Zn3 0.409 0.883 0.440
Zn4 0.117 0.591 0.060
Ge1 0.000 0.500 0.500
Ge2 0.375 0.625 0.250
Ge3 0.625 0.375 0.750
Ge4 0.500 0.000 0.000

Computed properties:
DFT formation energy: -0.004 eV/atom
total moment: 0.00 μB per cell
ρ: 7.83 g/cm³

What did the fourth record say?
Density functional theory data (PBE-GGA) for YNbZnGe2 after structural relaxation.

Lattice parameters (Å, degrees): 5.341 5.204 5.341 90.00 90.00 90.00
Fractional coordinates of all 5 atoms:
Ge1 0.500 0.000 0.000
Ge2 0.000 0.000 0.500
Zn1 0.500 0.500 0.500
Y1 0.000 0.000 0.000
Nb1 0.000 0.500 0.000

Computed properties:
DFT formation energy: 1.355 eV/atom
total moment: 1.27 μB per cell
ρ: 4.39 g/cm³